Density functional theory data (PBE-GGA) for a geometry-optimized Cu2Pt6Rh structure.

Cell: 3.8838 8.2833 8.2833 Å, 90.00 90.00 90.00°
Positions (direct):
1 Pt 0.5000 0.4980 0.3284
2 Pt 0.0000 0.6716 0.4980
3 Pt 0.5000 0.8382 0.3382
4 Pt 0.0000 0.9980 0.1716
5 Pt 0.5000 0.5020 0.6716
6 Pt 0.0000 0.3284 0.5020
7 Pt 0.0000 0.0020 0.8284
8 Pt 0.5000 0.1716 0.0020
9 Pt 0.5000 0.8284 0.9980
10 Pt 0.5000 0.1618 0.6618
11 Pt 0.0000 0.6618 0.8382
12 Pt 0.0000 0.3382 0.1618
13 Cu 0.0000 0.6682 0.1682
14 Cu 0.5000 0.1682 0.3318
15 Cu 0.0000 0.3318 0.8318
16 Cu 0.5000 0.8318 0.6682
17 Rh 0.0000 0.0000 0.5000
18 Rh 0.5000 0.5000 0.0000

Summary:
- Crystal system: tetragonal
- ΔE to the lowest computed polymorph: 0 meV/atom
- Symmetry: P4_2/mnm, No. 136

Density functional theory data (PBE-GGA) for a geometry-optimized Cu14PtRh structure.

Cell: 5.1374 5.1374 8.3929 Å, 90.00 90.00 116.16°
Positions (direct):
1 Rh 0.5581 0.4419 0.5000
2 Cu 0.8735 0.6245 0.7569
3 Cu 0.8735 0.6245 0.2431
4 Cu 0.3737 0.6263 0.2473
5 Cu 0.3755 0.1265 0.7569
6 Cu 0.6954 0.8057 0.0000
7 Cu 0.1943 0.3046 0.0000
8 Cu 0.8722 0.1278 0.7525
9 Cu 0.3737 0.6263 0.7527
10 Cu 0.1967 0.8033 0.0000
11 Cu 0.5542 0.9413 0.5000
12 Cu 0.0587 0.4458 0.5000
13 Cu 0.6965 0.3035 0.0000
14 Cu 0.8722 0.1278 0.2475
15 Cu 0.3755 0.1265 0.2431
16 Pt 0.0566 0.9434 0.5000

Summary:
- Crystal system: orthorhombic
- Symmetry: Amm2, No. 38

Density functional theory data (PBE-GGA) for a geometry-optimized CuPtRh structure.

Cell: 4.1835 4.1835 4.1835 Å, 60.00 60.00 60.00°
Last column: magnetic moment on the atom in μB.
Positions (direct):
1 Cu 0.5000 0.5000 0.5000  0.08
2 Pt 0.7500 0.7500 0.7500  0.49
3 Rh 0.0000 0.0000 0.0000  1.08

Summary:
- Crystal system: cubic
- ΔE to the lowest computed polymorph: 473 meV/atom
- Symmetry: F-43m, No. 216

Number 1: raw total energy -104.972 eV for the cell shown. Number 2: raw total energy -70.867 eV for the cell shown. Number 3: raw total energy -16.220 eV for the cell shown.